{
  "formula": "Mg2PbSe",
  "functional": "GGA-PBE",
  "state": "optimized geometry",
  "lattice": [[5.101, 0.000, 0.000], [0.000, 5.101, 0.000], [0.000, 0.000, 3.607]],
  "species": ["Mg", "Mg", "Pb", "Se"],
  "frac_coords": [[0.000, 0.500, 0.000], [0.500, 0.000, 0.000], [0.000, 0.000, 0.500], [0.500, 0.500, 0.500]],
  "m_tot_mub_per_fu": 0.00,
  "spacegroup": "P4/mmm, No. 123",
  "dos_ef_per_ev_fu": 2.2,
  "raw_formation_energy_ev_per_atom": -0.2225,
  "volume_a3_per_cell": 93.9
}


{
  "formula": "RbCoRu",
  "functional": "GGA-PBE",
  "state": "optimized geometry",
  "lattice": [[4.870, 0.000, 0.000], [0.000, 3.919, 0.000], [-0.858, 0.000, 10.009]],
  "species": ["Rb", "Rb", "Co", "Co", "Ru", "Ru"],
  "frac_coords": [[0.212, 0.250, 0.290], [0.788, 0.750, 0.710], [0.126, 0.750, 0.021], [0.874, 0.250, 0.979], [0.368, 0.250, 0.948], [0.632, 0.750, 0.052]],
  "m_tot_mub_per_fu": 1.10,
  "formation_enthalpy_0k_mev_per_atom": 631.9,
  "spacegroup": "P2_1/m, No. 11",
  "dos_ef_per_ev_fu": 3.8,
  "volume_a3_per_cell": 191.0
}


{
  "formula": "SrPm2Pb",
  "functional": "GGA-PBE",
  "state": "optimized geometry",
  "lattice": [[1.851, 1.069, 12.407], [-1.851, 1.069, 12.407], [0.000, -2.137, 12.407]],
  "species": ["Sr", "Pm", "Pm", "Pb"],
  "frac_coords": [[0.000, 0.000, 0.000], [0.096, 0.096, 0.096], [0.904, 0.904, 0.904], [0.500, 0.500, 0.500]],
  "m_tot_mub_per_fu": 0.00,
  "formation_enthalpy_0k_mev_per_atom": 57.5,
  "spacegroup": "R-3m, No. 166",
  "dos_ef_per_ev_fu": 4.8,
  "volume_a3_per_cell": 147.2
}


{
  "formula": "ZnAgSn3",
  "functional": "GGA-PBE",
  "state": "optimized geometry",
  "lattice": [[5.217, 0.000, 0.000], [0.000, 5.217, 0.000], [0.000, 0.000, 5.217]],
  "species": ["Zn", "Ag", "Sn", "Sn", "Sn"],
  "frac_coords": [[0.000, 0.000, 0.000], [0.500, 0.500, 0.500], [0.000, 0.000, 0.500], [0.000, 0.500, 0.000], [0.500, 0.000, 0.000]],
  "m_tot_mub_per_fu": 0.00,
  "formation_enthalpy_0k_mev_per_atom": 470.2,
  "spacegroup": "Pm-3m, No. 221",
  "dos_ef_per_ev_fu": 3.1,
  "volume_a3_per_cell": 142.0
}


{
  "formula": "ErThTa4",
  "functional": "GGA-PBE",
  "state": "optimized geometry",
  "lattice": [[0.000, 4.051, 4.051], [4.051, 0.000, 4.051], [4.051, 4.051, 0.000]],
  "species": ["Er", "Th", "Ta", "Ta", "Ta", "Ta"],
  "frac_coords": [[0.000, 0.000, 0.000], [0.250, 0.250, 0.250], [0.124, 0.625, 0.625], [0.625, 0.124, 0.625], [0.625, 0.625, 0.124], [0.625, 0.625, 0.625]],
  "m_tot_mub_per_fu": 0.00,
  "formation_enthalpy_0k_mev_per_atom": 125.2,
  "spacegroup": "F-43m, No. 216",
  "dos_ef_per_ev_fu": 3.1,
  "volume_a3_per_cell": 133.0
}


{
  "formula": "Dy8Ga2Fe",
  "functional": "GGA-PBE",
  "state": "optimized geometry",
  "lattice": [[8.721, -2.519, 0.000], [8.721, 2.519, 0.000], [-1.450, 0.000, 6.477]],
  "species": ["Dy", "Dy", "Dy", "Dy", "Dy", "Dy", "Dy", "Dy", "Ga", "Ga", "Fe"],
  "frac_coords": [[0.022, 0.022, 0.281], [0.204, 0.204, 0.802], [0.350, 0.350, 0.541], [0.410, 0.410, 0.061], [0.590, 0.590, 0.939], [0.650, 0.650, 0.459], [0.796, 0.796, 0.198], [0.978, 0.978, 0.719], [0.192, 0.192, 0.240], [0.808, 0.808, 0.760], [0.500, 0.500, 0.500]],
  "m_tot_mub_per_fu": 0.00,
  "formation_enthalpy_0k_mev_per_atom": -187.2,
  "spacegroup": "C2/m, No. 12",
  "dos_ef_per_ev_fu": 10.1,
  "volume_a3_per_cell": 284.6
}


{
  "formula": "Th2TlOs",
  "functional": "GGA-PBE",
  "state": "optimized geometry",
  "lattice": [[3.397, 0.000, 0.000], [0.000, 3.397, 0.000], [0.000, 0.000, 8.999]],
  "species": ["Th", "Th", "Tl", "Os"],
  "frac_coords": [[0.000, 0.000, 0.208], [0.000, 0.000, 0.792], [0.500, 0.500, 0.500], [0.500, 0.500, 0.000]],
  "m_tot_mub_per_fu": 0.00,
  "formation_enthalpy_0k_mev_per_atom": -213.4,
  "spacegroup": "P4/mmm, No. 123",
  "dos_ef_per_ev_fu": 4.1,
  "volume_a3_per_cell": 103.8
}


{
  "formula": "Re2IrC2",
  "functional": "GGA-PBE",
  "state": "optimized geometry",
  "lattice": [[6.289, 0.000, 0.000], [0.000, 6.289, 0.000], [0.000, 0.000, 2.767]],
  "species": ["Re", "Re", "Re", "Re", "Ir", "Ir", "C", "C", "C", "C"],
  "frac_coords": [[0.147, 0.353, 0.000], [0.353, 0.853, 0.000], [0.647, 0.147, 0.000], [0.853, 0.647, 0.000], [0.000, 0.000, 0.500], [0.500, 0.500, 0.500], [0.155, 0.655, 0.500], [0.345, 0.155, 0.500], [0.655, 0.845, 0.500], [0.845, 0.345, 0.500]],
  "m_tot_mub_per_fu": 0.00,
  "formation_enthalpy_0k_mev_per_atom": 985.9,
  "spacegroup": "P4/mbm, No. 127",
  "dos_ef_per_ev_fu": 4.9,
  "volume_a3_per_cell": 109.4
}


{
  "formula": "Ca3Hg4",
  "functional": "GGA-PBE",
  "state": "optimized geometry",
  "lattice": [[2.630, 1.518, 8.711], [-2.630, 1.518, 8.711], [0.000, -3.037, 8.711]],
  "species": ["Ca", "Ca", "Ca", "Hg", "Hg", "Hg", "Hg"],
  "frac_coords": [[0.000, 0.000, 0.000], [0.246, 0.246, 0.246], [0.754, 0.754, 0.754], [0.125, 0.125, 0.125], [0.372, 0.372, 0.372], [0.628, 0.628, 0.628], [0.875, 0.875, 0.875]],
  "m_tot_mub_per_fu": 0.00,
  "formation_enthalpy_0k_mev_per_atom": -382.1,
  "spacegroup": "R-3m, No. 166",
  "dos_ef_per_ev_fu": 7.6,
  "volume_a3_per_cell": 208.7
}


{
  "formula": "Sr2ScAl",
  "functional": "GGA-PBE",
  "state": "optimized geometry",
  "lattice": [[4.191, 0.000, 0.000], [0.000, 4.191, 0.000], [0.000, 0.000, 7.496]],
  "species": ["Sr", "Sr", "Sc", "Al"],
  "frac_coords": [[0.000, 0.000, 0.235], [0.000, 0.000, 0.765], [0.500, 0.500, 0.500], [0.500, 0.500, 0.000]],
  "m_tot_mub_per_fu": 0.00,
  "formation_enthalpy_0k_mev_per_atom": 180.4,
  "spacegroup": "P4/mmm, No. 123",
  "dos_ef_per_ev_fu": 3.5,
  "volume_a3_per_cell": 131.6
}